Density functional theory data (GGA-PBE) for crystalline PmY2NpO8 at its relaxed geometry.

Computed properties:
* calculated density: 7.20 g cm⁻³

The structure in CIF format:
```
data_PmY2NpO8
_chemical_formula_sum 'Pm1 Y2 Np1 O8'
_cell_length_a 3.9168
_cell_length_b 5.4223
_cell_length_c 7.4858
_cell_angle_alpha 90.00
_cell_angle_beta 90.00
_cell_angle_gamma 93.85
_symmetry_space_group_name_H-M 'P 1'
_symmetry_Int_Tables_number 1
loop_
_symmetry_equiv_pos_as_xyz
'x,y,z'
loop_
_atom_site_label
_atom_site_type_symbol
_atom_site_fract_x
_atom_site_fract_y
_atom_site_fract_z
_atom_site_occupancy
Y1 Y 0.5000 0.5000 0.2572 1
Y2 Y 0.5000 0.5000 0.7428 1
Pm1 Pm 0.0000 0.0000 0.5000 1
O1 O 0.9737 0.2384 0.7813 1
O2 O 0.4937 0.7427 0.5000 1
O3 O 0.5063 0.2573 0.5000 1
O4 O 0.4575 0.2243 0.0000 1
O5 O 0.9737 0.2384 0.2187 1
O6 O 0.0263 0.7616 0.2187 1
O7 O 0.5425 0.7757 0.0000 1
O8 O 0.0263 0.7616 0.7813 1
Np1 Np 0.0000 0.0000 0.0000 1
```

=====

Density functional theory data (GGA-PBE) for crystalline PmYNpO6 at its relaxed geometry.

Computed properties:
* calculated density: 6.72 g cm⁻³

The structure in CIF format:
```
data_PmYNpO6
_chemical_formula_sum 'Pm2 Y2 Np2 O12'
_cell_length_a 5.7784
_cell_length_b 5.7784
_cell_length_c 9.6831
_cell_angle_alpha 90.00
_cell_angle_beta 90.00
_cell_angle_gamma 120.00
_symmetry_space_group_name_H-M 'P 1'
_symmetry_Int_Tables_number 1
loop_
_symmetry_equiv_pos_as_xyz
'x,y,z'
loop_
_atom_site_label
_atom_site_type_symbol
_atom_site_fract_x
_atom_site_fract_y
_atom_site_fract_z
_atom_site_occupancy
O1 O 0.6374 0.6637 0.6361 1
O2 O 0.3626 0.0262 0.1361 1
O3 O 0.9738 0.3363 0.1361 1
O4 O 0.0262 0.6637 0.8639 1
O5 O 0.3364 0.3626 0.8639 1
O6 O 0.3364 0.9738 0.6361 1
O7 O 0.9738 0.6374 0.3639 1
O8 O 0.6374 0.9738 0.8639 1
O9 O 0.6636 0.6374 0.1361 1
O10 O 0.3626 0.3363 0.3639 1
O11 O 0.0262 0.3626 0.6361 1
O12 O 0.6636 0.0262 0.3639 1
Y1 Y 0.6667 0.3333 0.7500 1
Y2 Y 0.3333 0.6667 0.2500 1
Np1 Np 0.6667 0.3333 0.2500 1
Np2 Np 0.3333 0.6667 0.7500 1
Pm1 Pm 0.0000 0.0000 0.5000 1
Pm2 Pm 0.0000 0.0000 0.0000 1
```

=====

Density functional theory data (GGA-PBE) for crystalline PrNpO6 at its relaxed geometry.

Computed properties:
* calculated density: 5.09 g cm⁻³

The structure in CIF format:
```
data_PrNpO6
_chemical_formula_sum 'Pr1 Np1 O6'
_cell_length_a 6.7949
_cell_length_b 5.8570
_cell_length_c 5.6732
_cell_angle_alpha 61.79
_cell_angle_beta 129.05
_cell_angle_gamma 108.38
_symmetry_space_group_name_H-M 'P 1'
_symmetry_Int_Tables_number 1
loop_
_symmetry_equiv_pos_as_xyz
'x,y,z'
loop_
_atom_site_label
_atom_site_type_symbol
_atom_site_fract_x
_atom_site_fract_y
_atom_site_fract_z
_atom_site_occupancy
O1 O 0.1565 0.7749 0.0556 1
O2 O 0.8436 0.2666 0.9861 1
O3 O 0.6086 0.0205 0.5236 1
O4 O 0.8307 0.7734 0.2160 1
O5 O 0.3914 0.0212 0.5179 1
O6 O 0.1693 0.2680 0.8254 1
Pr1 Pr 0.5000 0.0208 0.0207 1
Np1 Np 0.0000 0.0207 0.0208 1
```

=====

Density functional theory data (GGA-PBE) for crystalline Pr2Np2O7 at its relaxed geometry.

Computed properties:
* calculated density: 8.46 g cm⁻³

The structure in CIF format:
```
data_Pr2Np2O7
_chemical_formula_sum 'Pr4 Np4 O14'
_cell_length_a 7.8390
_cell_length_b 7.8390
_cell_length_c 7.8390
_cell_angle_alpha 60.00
_cell_angle_beta 60.00
_cell_angle_gamma 60.00
_symmetry_space_group_name_H-M 'P 1'
_symmetry_Int_Tables_number 1
loop_
_symmetry_equiv_pos_as_xyz
'x,y,z'
loop_
_atom_site_label
_atom_site_type_symbol
_atom_site_fract_x
_atom_site_fract_y
_atom_site_fract_z
_atom_site_occupancy
O1 O 0.0297 0.0297 0.4703 1
O2 O 0.2203 0.7797 0.7797 1
O3 O 0.4703 0.4703 0.0297 1
O4 O 0.0297 0.4703 0.0297 1
O5 O 0.4703 0.0297 0.0297 1
O6 O 0.4703 0.0297 0.4703 1
O7 O 0.7797 0.2203 0.7797 1
O8 O 0.2203 0.2203 0.7797 1
O9 O 0.7797 0.7797 0.2203 1
O10 O 0.7797 0.2203 0.2203 1
O11 O 0.5000 0.5000 0.5000 1
O12 O 0.0297 0.4703 0.4703 1
O13 O 0.2203 0.7797 0.2203 1
O14 O 0.7500 0.7500 0.7500 1
Np1 Np 0.6250 0.1250 0.1250 1
Np2 Np 0.1250 0.1250 0.6250 1
Np3 Np 0.1250 0.6250 0.1250 1
Np4 Np 0.1250 0.1250 0.1250 1
Pr1 Pr 0.6250 0.1250 0.6250 1
Pr2 Pr 0.6250 0.6250 0.6250 1
Pr3 Pr 0.1250 0.6250 0.6250 1
Pr4 Pr 0.6250 0.6250 0.1250 1
```

=====

Density functional theory data (GGA-PBE) for crystalline PrNp2O7 at its relaxed geometry.

Computed properties:
* calculated density: 9.01 g cm⁻³

The structure in CIF format:
```
data_PrNp2O7
_chemical_formula_sum 'Pr1 Np2 O7'
_cell_length_a 3.8527
_cell_length_b 3.8527
_cell_length_c 10.6582
_cell_angle_alpha 79.59
_cell_angle_beta 79.59
_cell_angle_gamma 60.00
_symmetry_space_group_name_H-M 'P 1'
_symmetry_Int_Tables_number 1
loop_
_symmetry_equiv_pos_as_xyz
'x,y,z'
loop_
_atom_site_label
_atom_site_type_symbol
_atom_site_fract_x
_atom_site_fract_y
_atom_site_fract_z
_atom_site_occupancy
O1 O 0.7194 0.7194 0.8419 1
O2 O 0.4194 0.4194 0.7417 1
O3 O 0.8652 0.8652 0.4044 1
O4 O 0.5806 0.5806 0.2583 1
O5 O 0.1348 0.1348 0.5956 1
O6 O 0.0000 0.0000 0.0000 1
O7 O 0.2806 0.2806 0.1581 1
Np1 Np 0.0659 0.0659 0.8024 1
Np2 Np 0.9341 0.9341 0.1976 1
Pr1 Pr 0.5000 0.5000 0.5000 1
```

=====

Density functional theory data (GGA-PBE) for crystalline Pr2NpO5 at its relaxed geometry.

Computed properties:
* calculated density: 8.67 g cm⁻³

The structure in CIF format:
```
data_Pr2NpO5
_chemical_formula_sum 'Pr4 Np2 O10'
_cell_length_a 3.5134
_cell_length_b 6.4381
_cell_length_c 10.1460
_cell_angle_alpha 90.00
_cell_angle_beta 90.00
_cell_angle_gamma 90.00
_symmetry_space_group_name_H-M 'P 1'
_symmetry_Int_Tables_number 1
loop_
_symmetry_equiv_pos_as_xyz
'x,y,z'
loop_
_atom_site_label
_atom_site_type_symbol
_atom_site_fract_x
_atom_site_fract_y
_atom_site_fract_z
_atom_site_occupancy
Pr1 Pr 0.5000 0.9749 0.6700 1
Pr2 Pr 0.5000 0.4749 0.8300 1
Pr3 Pr 0.5000 0.0251 0.3300 1
Pr4 Pr 0.5000 0.5251 0.1700 1
Np1 Np 0.0000 0.5000 0.5000 1
Np2 Np 0.0000 0.0000 0.0000 1
O1 O 0.0000 0.8282 0.1955 1
O2 O 0.5000 0.6577 0.4062 1
O3 O 0.0000 0.0000 0.5000 1
O4 O 0.0000 0.1718 0.8045 1
O5 O 0.0000 0.5000 0.0000 1
O6 O 0.0000 0.6718 0.6955 1
O7 O 0.5000 0.1577 0.0938 1
O8 O 0.0000 0.3282 0.3045 1
O9 O 0.5000 0.8423 0.9062 1
O10 O 0.5000 0.3423 0.5938 1
```

=====

Density functional theory data (GGA-PBE) for crystalline PrNp2O8 at its relaxed geometry.

Computed properties:
* calculated density: 6.70 g cm⁻³

The structure in CIF format:
```
data_PrNp2O8
_chemical_formula_sum 'Pr1 Np2 O8'
_cell_length_a 4.2321
_cell_length_b 7.0878
_cell_length_c 7.0885
_cell_angle_alpha 120.02
_cell_angle_beta 90.00
_cell_angle_gamma 90.01
_symmetry_space_group_name_H-M 'P 1'
_symmetry_Int_Tables_number 1
loop_
_symmetry_equiv_pos_as_xyz
'x,y,z'
loop_
_atom_site_label
_atom_site_type_symbol
_atom_site_fract_x
_atom_site_fract_y
_atom_site_fract_z
_atom_site_occupancy
O1 O 0.7418 0.3498 0.1756 1
O2 O 0.7419 0.8245 0.1743 1
O3 O 0.7615 0.3333 0.6667 1
O4 O 0.2581 0.1744 0.3498 1
O5 O 0.2581 0.1755 0.8257 1
O6 O 0.7419 0.8256 0.6501 1
O7 O 0.2582 0.6502 0.8244 1
O8 O 0.2385 0.6667 0.3332 1
Pr1 Pr 0.0000 0.0000 0.0000 1
Np1 Np 0.2597 0.3333 0.6667 1
Np2 Np 0.7403 0.6667 0.3333 1
```

=====

Density functional theory data (GGA-PBE) for crystalline Pr4Np6O19 at its relaxed geometry.

Computed properties:
* calculated density: 7.95 g cm⁻³

The structure in CIF format:
```
data_Pr4Np6O19
_chemical_formula_sum 'Pr4 Np6 O19'
_cell_length_a 8.5337
_cell_length_b 8.5337
_cell_length_c 8.5337
_cell_angle_alpha 109.47
_cell_angle_beta 109.47
_cell_angle_gamma 109.47
_symmetry_space_group_name_H-M 'P 1'
_symmetry_Int_Tables_number 1
loop_
_symmetry_equiv_pos_as_xyz
'x,y,z'
loop_
_atom_site_label
_atom_site_type_symbol
_atom_site_fract_x
_atom_site_fract_y
_atom_site_fract_z
_atom_site_occupancy
Pr1 Pr 0.0000 0.0000 0.7098 1
Pr2 Pr 0.2902 0.2902 0.2902 1
Pr3 Pr 0.0000 0.7098 0.0000 1
Pr4 Pr 0.7098 0.0000 0.0000 1
O1 O 0.0000 0.0000 0.0000 1
O2 O 0.3541 0.3296 0.5927 1
O3 O 0.3590 0.3590 0.0000 1
O4 O 0.3296 0.5927 0.3541 1
O5 O 0.7369 0.7615 0.4073 1
O6 O 0.2631 0.6704 0.0245 1
O7 O 0.5927 0.3541 0.3296 1
O8 O 0.7615 0.4073 0.7369 1
O9 O 0.6459 0.2385 0.9755 1
O10 O 0.0245 0.2631 0.6704 1
O11 O 0.0000 0.6410 0.6410 1
O12 O 0.6410 0.0000 0.6410 1
O13 O 0.2385 0.9755 0.6459 1
O14 O 0.9755 0.6459 0.2385 1
O15 O 0.4073 0.7369 0.7615 1
O16 O 0.0000 0.3590 0.3590 1
O17 O 0.3590 0.0000 0.3590 1
O18 O 0.6410 0.6410 0.0000 1
O19 O 0.6704 0.0245 0.2631 1
Np1 Np 0.3257 0.5000 0.8257 1
Np2 Np 0.5000 0.1743 0.6743 1
Np3 Np 0.5000 0.8257 0.3257 1
Np4 Np 0.8257 0.3257 0.5000 1
Np5 Np 0.1743 0.6743 0.5000 1
Np6 Np 0.6743 0.5000 0.1743 1
```

=====

Density functional theory data (GGA-PBE) for crystalline Pr4NpO10 at its relaxed geometry.

Computed properties:
* calculated density: 7.38 g cm⁻³

The structure in CIF format:
```
data_Pr4NpO10
_chemical_formula_sum 'Pr4 Np1 O10'
_cell_length_a 5.5855
_cell_length_b 6.8187
_cell_length_c 6.8187
_cell_angle_alpha 80.34
_cell_angle_beta 65.82
_cell_angle_gamma 65.82
_symmetry_space_group_name_H-M 'P 1'
_symmetry_Int_Tables_number 1
loop_
_symmetry_equiv_pos_as_xyz
'x,y,z'
loop_
_atom_site_label
_atom_site_type_symbol
_atom_site_fract_x
_atom_site_fract_y
_atom_site_fract_z
_atom_site_occupancy
O1 O 0.7500 0.5000 0.5000 1
O2 O 0.1329 0.2747 0.9131 1
O3 O 0.9540 0.9131 0.7253 1
O4 O 0.3207 0.7253 0.0869 1
O5 O 0.8671 0.7253 0.0869 1
O6 O 0.6793 0.2747 0.9131 1
O7 O 0.5924 0.0869 0.2747 1
O8 O 0.0460 0.0869 0.2747 1
O9 O 0.2500 0.5000 0.5000 1
O10 O 0.4076 0.9131 0.7253 1
Pr1 Pr 0.5990 0.2029 0.5991 1
Pr2 Pr 0.4010 0.7971 0.4009 1
Pr3 Pr 0.8019 0.5991 0.7971 1
Pr4 Pr 0.1981 0.4009 0.2029 1
Np1 Np 0.0000 0.0000 0.0000 1
```

=====

no.,formation energy from raw total energies (meV per atom)
1,-3161
2,-3184
3,-2275
4,-3190
5,-2942
6,-3183
7,-2506
8,-3021
9,-2979